[1]
Eu2HN | the Alexandria database | PBE | relaxed; total energy = -8.5356 eV/atom; spin magnetization = 14.00 μB/f.u.
1.0
0.000 3.121 3.121
3.121 0.000 3.121
3.121 3.121 0.000
Eu H N
2 1 1
direct
0.250 0.250 0.250 Eu
0.750 0.750 0.750 Eu
0.000 0.000 0.000 H
0.500 0.500 0.500 N

[2]
NaEuH3 | the Alexandria database | PBE | relaxed; total energy = -4.5664 eV/atom; spin magnetization = 7.00 μB/f.u.
1.0
4.031 0.000 0.000
0.000 4.031 0.000
0.000 0.000 4.031
Na Eu H
1 1 3
direct
0.000 0.000 0.000 Na
0.500 0.500 0.500 Eu
0.000 0.000 0.500 H
0.000 0.500 0.000 H
0.500 0.000 0.000 H

[3]
NaEuH | the Alexandria database | PBE | relaxed; relative energy among the computed polymorphs = 52 meV per atom; spin magnetization = 7.60 μB/f.u.
1.0
-1.725 1.725 6.900
1.725 -1.725 6.900
1.725 1.725 -6.900
Na Eu H
1 1 1
direct
0.000 0.000 0.000 Na
0.725 0.725 0.000 Eu
0.243 0.243 0.000 H